A relaxed RbMn2SeF crystal. Source: the Alexandria database, functional PBE+U.

Properties
- total energy (eV/cell) = -23.15

abc: 4.5496 4.5496 6.2228
angles: 90.00 90.00 90.00
Closest atoms and distances in Å follow each position.
Sites, in units of the cell vectors:
Rb1 0.0000 0.0000 0.0000  4 Se 3.22
Mn1 0.0000 0.5000 0.5000  2 F 2.27
Mn2 0.5000 0.0000 0.5000  2 F 2.27
Se1 0.5000 0.5000 0.0000  2 F 3.11, 4 Rb 3.22
F1 0.5000 0.5000 0.5000  4 Mn 2.27